{
  "formula": "TaTiMo",
  "functional": "GGA-PBE",
  "state": "relaxed",
  "formation_energy_mev_per_atom": -114,
  "vol_a3_per_cell": 202,
  "energy_ry_per_atom": -0.7575,
  "de_polymorph_mev_per_atom": 15,
  "sg": "Cmcm, No. 63",
  "rho_g_cm3": 10.7,
  "lattice_angstrom": [[3.227, 0.000, 0.000], [0.000, 13.689, 0.000], [0.000, 0.000, 4.582]],
  "species": ["Mo", "Mo", "Mo", "Mo", "Ta", "Ta", "Ta", "Ta", "Ti", "Ti", "Ti", "Ti"],
  "frac_coords": [[0.000, 0.085, 0.250], [0.000, 0.915, 0.750], [0.500, 0.585, 0.250], [0.500, 0.415, 0.750], [0.000, 0.419, 0.250], [0.000, 0.581, 0.750], [0.500, 0.919, 0.250], [0.500, 0.081, 0.750], [0.000, 0.738, 0.250], [0.000, 0.262, 0.750], [0.500, 0.238, 0.250], [0.500, 0.762, 0.750]]
}


{
  "formula": "TaTi3Mo",
  "functional": "GGA-PBE",
  "state": "relaxed",
  "formation_energy_mev_per_atom": -42,
  "vol_a3_per_cell": 170,
  "energy_ry_per_atom": -0.6847,
  "de_polymorph_mev_per_atom": 0,
  "sg": "C2/m, No. 12",
  "rho_g_cm3": 8.2,
  "lattice_angstrom": [[-3.129, 0.636, 0.026], [-0.050, -8.290, 0.604], [-0.107, -0.795, 6.587]],
  "species": ["Ta", "Ta", "Ti", "Ti", "Ti", "Ti", "Ti", "Ti", "Mo", "Mo"],
  "frac_coords": [[0.801, 0.602, 0.845], [0.199, 0.398, 0.155], [0.001, 0.003, 0.280], [0.999, 0.997, 0.720], [0.408, 0.816, 0.045], [0.592, 0.184, 0.955], [0.192, 0.385, 0.639], [0.808, 0.615, 0.361], [0.604, 0.208, 0.440], [0.396, 0.792, 0.560]]
}


{
  "formula": "Ta5TiMo6",
  "functional": "GGA-PBE",
  "state": "relaxed",
  "formation_energy_mev_per_atom": -175,
  "vol_a3_per_cell": 200,
  "energy_ry_per_atom": -0.8223,
  "sg": "C2/m, No. 12",
  "rho_g_cm3": 12.7,
  "lattice_angstrom": [[4.386, 0.016, -1.285], [-0.884, 5.657, -2.946], [-0.096, 0.417, 7.866]],
  "species": ["Mo", "Mo", "Mo", "Mo", "Mo", "Mo", "Ta", "Ta", "Ta", "Ta", "Ta", "Ti"],
  "frac_coords": [[0.834, 0.584, 0.667], [0.834, 0.083, 0.667], [0.500, 0.750, 0.000], [0.500, 0.250, 0.000], [0.166, 0.917, 0.333], [0.166, 0.416, 0.333], [0.665, 0.166, 0.331], [0.333, 0.333, 0.667], [0.000, 0.500, 0.000], [0.667, 0.667, 0.333], [0.335, 0.834, 0.669], [0.000, 0.000, 0.000]]
}


{
  "formula": "TaTiMo14",
  "functional": "GGA-PBE",
  "state": "relaxed",
  "formation_energy_mev_per_atom": -94,
  "vol_a3_per_cell": 255,
  "energy_ry_per_atom": -0.7942,
  "sg": "Cmmm, No. 65",
  "rho_g_cm3": 10.2,
  "lattice_angstrom": [[5.488, 0.168, 0.000], [-1.997, 5.114, 0.000], [0.000, 0.000, 8.979]],
  "species": ["Ta", "Ti", "Mo", "Mo", "Mo", "Mo", "Mo", "Mo", "Mo", "Mo", "Mo", "Mo", "Mo", "Mo", "Mo", "Mo"],
  "frac_coords": [[0.625, 0.375, 0.500], [0.125, 0.875, 0.500], [0.125, 0.875, 0.000], [0.625, 0.375, 0.000], [0.125, 0.375, 0.500], [0.125, 0.375, 0.000], [0.625, 0.875, 0.500], [0.625, 0.875, 0.000], [0.374, 0.124, 0.754], [0.374, 0.124, 0.246], [0.876, 0.626, 0.754], [0.876, 0.626, 0.246], [0.374, 0.626, 0.750], [0.374, 0.626, 0.250], [0.876, 0.124, 0.750], [0.876, 0.124, 0.250]]
}


{
  "formula": "Ta3TiMo",
  "functional": "GGA-PBE",
  "state": "relaxed",
  "formation_energy_mev_per_atom": 1362,
  "vol_a3_per_cell": 111,
  "energy_ry_per_atom": -0.6978,
  "de_polymorph_mev_per_atom": 1407,
  "sg": "Pm-3m, No. 221",
  "rho_g_cm3": 10.3,
  "lattice_angstrom": [[-0.330, -3.459, 3.324], [-0.277, -3.313, -3.474], [4.789, -0.430, 0.029]],
  "species": ["Mo", "Ti", "Ta", "Ta", "Ta"],
  "frac_coords": [[0.000, 0.000, 0.000], [0.500, 0.500, 0.500], [0.000, 0.500, 0.000], [0.000, 0.000, 0.500], [0.500, 0.000, 0.000]]
}


{
  "formula": "TaTi2Mo3",
  "functional": "GGA-PBE",
  "state": "relaxed",
  "formation_energy_mev_per_atom": -98,
  "vol_a3_per_cell": 97,
  "energy_ry_per_atom": -0.7439,
  "sg": "Cmmm, No. 65",
  "rho_g_cm3": 9.6,
  "lattice_angstrom": [[-2.529, -1.848, 0.645], [2.339, -3.664, -1.328], [1.049, 0.981, 6.921]],
  "species": ["Ta", "Ti", "Ti", "Mo", "Mo", "Mo"],
  "frac_coords": [[0.000, 0.000, 0.000], [0.000, 0.332, 0.664], [0.000, 0.668, 0.336], [0.500, 0.500, 0.000], [0.500, 0.831, 0.663], [0.500, 0.169, 0.337]]
}


{
  "formula": "Ta2Ti2Mo5",
  "functional": "GGA-PBE",
  "state": "relaxed",
  "formation_energy_mev_per_atom": 276,
  "vol_a3_per_cell": 156,
  "energy_ry_per_atom": -0.7445,
  "sg": "C2/m, No. 12",
  "rho_g_cm3": 10.0,
  "lattice_angstrom": [[4.188, 0.000, -1.522], [-0.897, 4.871, -2.468], [0.400, -0.221, 7.623]],
  "species": ["Ta", "Ta", "Ti", "Ti", "Mo", "Mo", "Mo", "Mo", "Mo"],
  "frac_coords": [[0.797, 0.891, 0.594], [0.203, 0.109, 0.406], [0.601, 0.290, 0.201], [0.399, 0.710, 0.799], [0.590, 0.782, 0.180], [0.410, 0.218, 0.820], [0.809, 0.405, 0.617], [0.191, 0.595, 0.383], [0.000, 0.000, 0.000]]
}


{
  "formula": "TaTiMo3",
  "functional": "GGA-PBE",
  "state": "relaxed",
  "formation_energy_mev_per_atom": 1369,
  "vol_a3_per_cell": 93,
  "energy_ry_per_atom": -0.6673,
  "de_polymorph_mev_per_atom": 1122,
  "sg": "Pm-3m, No. 221",
  "rho_g_cm3": 9.2,
  "lattice_angstrom": [[-1.417, 3.217, -2.855], [-2.169, -3.130, -2.451], [-3.715, 0.600, 2.520]],
  "species": ["Mo", "Mo", "Mo", "Ti", "Ta"],
  "frac_coords": [[0.000, 0.500, 0.000], [0.000, 0.000, 0.500], [0.500, 0.000, 0.000], [0.000, 0.000, 0.000], [0.500, 0.500, 0.500]]
}


{
  "formula": "TaTiMo",
  "functional": "GGA-PBE",
  "state": "relaxed",
  "formation_energy_mev_per_atom": -129,
  "vol_a3_per_cell": 101,
  "energy_ry_per_atom": -0.7587,
  "de_polymorph_mev_per_atom": 0,
  "sg": "P-1, No. 2",
  "rho_g_cm3": 10.7,
  "lattice_angstrom": [[-1.485, 3.524, -2.383], [2.549, -3.766, -2.901], [-4.106, -1.075, -3.306]],
  "species": ["Mo", "Mo", "Ta", "Ta", "Ti", "Ti"],
  "frac_coords": [[0.453, 0.357, 0.901], [0.604, 0.187, 0.429], [0.101, 0.671, 0.919], [0.956, 0.873, 0.411], [0.775, 0.036, 0.937], [0.282, 0.507, 0.394]]
}


{
  "formula": "TaTi4Mo2",
  "functional": "GGA-PBE",
  "state": "relaxed",
  "formation_energy_mev_per_atom": 1034,
  "vol_a3_per_cell": 140,
  "energy_ry_per_atom": -0.6075,
  "sg": "I4/mmm, No. 139",
  "rho_g_cm3": 6.7,
  "lattice_angstrom": [[-0.018, -0.502, -4.694], [-4.589, -1.098, 0.135], [-3.775, 5.271, -2.922]],
  "species": ["Mo", "Mo", "Ti", "Ti", "Ti", "Ti", "Ta"],
  "frac_coords": [[0.378, 0.378, 0.243], [0.622, 0.622, 0.757], [0.204, 0.204, 0.591], [0.796, 0.796, 0.409], [0.000, 0.500, 0.000], [0.500, 0.000, 0.000], [0.000, 0.000, 0.000]]
}


{
  "formula": "TaTi2Mo4",
  "functional": "GGA-PBE",
  "state": "relaxed",
  "formation_energy_mev_per_atom": 56,
  "vol_a3_per_cell": 233,
  "energy_ry_per_atom": -0.7410,
  "sg": "P1, No. 1",
  "rho_g_cm3": 9.4,
  "lattice_angstrom": [[5.289, 0.318, -0.350], [-0.013, 6.409, -3.121], [0.145, -0.504, 7.123]],
  "species": ["Ta", "Ta", "Ti", "Ti", "Ti", "Ti", "Mo", "Mo", "Mo", "Mo", "Mo", "Mo", "Mo", "Mo"],
  "frac_coords": [[0.909, 0.555, 0.109], [0.696, 0.221, 0.209], [0.194, 0.888, 0.540], [0.419, 0.320, 0.636], [0.921, 0.323, 0.640], [0.408, 0.556, 0.103], [0.021, 0.774, 0.870], [0.687, 0.937, 0.355], [0.192, 0.168, 0.959], [0.693, 0.086, 0.788], [0.200, 0.028, 0.253], [0.698, 0.651, 0.503], [0.193, 0.464, 0.404], [0.518, 0.779, 0.881]]
}